DFT (PBE) results for TmSnHgRh after structural relaxation.

Output
Raw total energy = -4.45 eV per atom
Crystal system = cubic
Space group = No. 216

a = 4.905 Å, b = 4.905 Å, c = 4.905 Å
α = 60.00°, β = 60.00°, γ = 60.00°
Fractional coordinates of all 4 atoms:
Rh 0.500 0.500 0.500
Sn 0.250 0.250 0.250
Tm 0.750 0.750 0.750
Hg 0.000 0.000 0.000

DFT (PBE) results for ZrSnHg2Rh after structural relaxation.

Output
Raw total energy = -3.47 eV per atom
Crystal system = tetragonal
Space group = No. 123

a = 5.570 Å, b = 4.745 Å, c = 5.570 Å
α = 90.00°, β = 90.00°, γ = 90.00°
Fractional coordinates of all 5 atoms:
Rh 0.000 0.500 0.000
Zr 0.000 0.000 0.000
Sn 0.500 0.500 0.500
Hg 0.000 0.000 0.500
Hg 0.500 0.000 0.000

DFT (PBE) results for SrHgRh3 after structural relaxation.

Output
Raw total energy = -3.18 eV per atom
Energy relative to the lowest polymorph listed for this composition = 770 meV per atom
Crystal system = cubic
Space group = No. 221

a = 4.988 Å, b = 4.988 Å, c = 4.988 Å
α = 90.00°, β = 90.00°, γ = 90.00°
Each line ends with the local moment (μB).
Fractional coordinates of all 5 atoms:
Sr 0.000 0.000 0.000  -0.02
Hg 0.500 0.500 0.500  0.01
Rh 0.000 0.500 0.000  0.54
Rh 0.500 0.000 0.000  0.61
Rh 0.000 0.000 0.500  0.54

DFT (PBE) results for Sr2Hg3Rh after structural relaxation.

Output
Raw total energy = -2.34 eV per atom
Crystal system = monoclinic
Space group = No. 8

a = 4.916 Å, b = 6.178 Å, c = 6.368 Å
α = 76.83°, β = 67.29°, γ = 66.55°
Fractional coordinates of all 6 atoms:
Rh 0.167 0.389 0.277
Sr 0.543 0.206 0.709
Sr 0.449 0.804 0.297
Hg 0.859 0.613 0.669
Hg 0.818 0.230 0.134
Hg 0.164 0.759 0.914

DFT (PBE) results for Sr3Hg4Rh2 after structural relaxation.

Output
Raw total energy = -2.70 eV per atom
Crystal system = monoclinic
Space group = No. 12

a = 4.465 Å, b = 6.485 Å, c = 9.439 Å
α = 73.34°, β = 76.32°, γ = 69.86°
Fractional coordinates of all 9 atoms:
Hg 0.019 0.313 0.649
Hg 0.981 0.687 0.351
Hg 0.268 0.373 0.090
Sr 0.312 0.753 0.623
Sr 0.688 0.247 0.377
Hg 0.732 0.627 0.910
Rh 0.605 0.053 0.737
Sr 0.000 0.000 0.000
Rh 0.395 0.947 0.263

DFT (PBE) results for Sr4HgRh after structural relaxation.

Output
Raw total energy = -2.71 eV per atom
Energy relative to the lowest polymorph listed for this composition = 0 meV per atom
Crystal system = monoclinic
Space group = No. 15

a = 6.930 Å, b = 8.857 Å, c = 8.857 Å
α = 111.27°, β = 106.50°, γ = 106.50°
Fractional coordinates of all 12 atoms:
Sr 0.796 0.651 0.779
Hg 0.750 0.635 0.365
Sr 0.918 0.055 0.717
Sr 0.418 0.717 0.055
Sr 0.704 0.221 0.349
Hg 0.250 0.365 0.635
Rh 0.250 0.999 0.001
Rh 0.750 0.001 0.999
Sr 0.582 0.283 0.945
Sr 0.082 0.945 0.283
Sr 0.296 0.779 0.651
Sr 0.204 0.349 0.221

DFT (PBE) results for SrHg2Rh2 after structural relaxation.

Output
Raw total energy = -3.50 eV per atom
Energy relative to the lowest polymorph listed for this composition = 1 meV per atom
Crystal system = tetragonal
Space group = No. 139

a = 4.592 Å, b = 4.592 Å, c = 6.387 Å
α = 68.93°, β = 68.93°, γ = 90.00°
Fractional coordinates of all 5 atoms:
Rh 0.389 0.389 0.222
Rh 0.611 0.611 0.778
Hg 0.750 0.250 0.500
Hg 0.250 0.750 0.500
Sr 0.000 0.000 0.000

DFT (PBE) results for SrHg4Rh after structural relaxation.

Output
Raw total energy = -1.68 eV per atom
Energy relative to the lowest polymorph listed for this composition = 267 meV per atom
Crystal system = cubic
Space group = No. 216

a = 5.860 Å, b = 5.860 Å, c = 5.860 Å
α = 60.00°, β = 60.00°, γ = 60.00°
Fractional coordinates of all 6 atoms:
Rh 0.750 0.750 0.750
Hg 0.376 0.376 0.872
Hg 0.872 0.376 0.376
Hg 0.376 0.872 0.376
Sr 0.000 0.000 0.000
Hg 0.376 0.376 0.376

DFT (PBE) results for SrHgRh2 after structural relaxation.

Output
Raw total energy = -4.01 eV per atom
Crystal system = cubic
Space group = No. 216

a = 4.864 Å, b = 4.864 Å, c = 4.864 Å
α = 60.00°, β = 60.00°, γ = 60.00°
Fractional coordinates of all 4 atoms:
Rh 0.000 0.000 0.000
Rh 0.250 0.250 0.250
Hg 0.500 0.500 0.500
Sr 0.750 0.750 0.750

DFT (PBE) results for Sr3Hg3Rh2 after structural relaxation.

Output
Raw total energy = -2.97 eV per atom
Crystal system = orthorhombic
Space group = No. 63

a = 4.512 Å, b = 6.081 Å, c = 17.000 Å
α = 90.00°, β = 90.00°, γ = 111.78°
Fractional coordinates of all 16 atoms:
Hg 0.352 0.704 0.250
Rh 0.225 0.450 0.114
Hg 0.359 0.717 0.538
Hg 0.641 0.283 0.462
Sr 0.926 0.851 0.103
Hg 0.648 0.296 0.750
Hg 0.359 0.717 0.962
Sr 0.357 0.714 0.750
Sr 0.074 0.149 0.603
Sr 0.643 0.286 0.250
Rh 0.775 0.550 0.614
Sr 0.926 0.851 0.397
Rh 0.775 0.550 0.886
Rh 0.225 0.450 0.386
Sr 0.074 0.149 0.897
Hg 0.641 0.283 0.038

DFT (PBE) results for SrHgRh2 after structural relaxation.

Output
Raw total energy = -4.02 eV per atom
Crystal system = monoclinic
Space group = No. 10

a = 4.700 Å, b = 3.093 Å, c = 5.844 Å
α = 80.35°, β = 90.00°, γ = 90.00°
Fractional coordinates of all 4 atoms:
Rh 0.000 0.945 0.947
Rh 0.000 0.555 0.553
Sr 0.500 0.250 0.250
Hg 0.500 0.750 0.750

DFT (PBE) results for SrHgRh2 after structural relaxation.

Output
Raw total energy = -4.14 eV per atom
Crystal system = tetragonal
Space group = No. 123

a = 4.043 Å, b = 4.417 Å, c = 4.417 Å
α = 90.00°, β = 90.00°, γ = 90.00°
Fractional coordinates of all 4 atoms:
Sr 0.500 0.500 0.000
Hg 0.500 0.000 0.500
Rh 0.000 0.500 0.500
Rh 0.000 0.000 0.000

DFT (PBE) results for SrHgRh2 after structural relaxation.

Output
Raw total energy = -4.00 eV per atom
Crystal system = monoclinic
Space group = No. 12

a = 5.575 Å, b = 5.558 Å, c = 3.088 Å
α = 76.48°, β = 84.97°, γ = 118.50°
Fractional coordinates of all 4 atoms:
Rh 0.000 0.000 0.000
Sr 0.000 0.500 0.500
Hg 0.500 0.500 0.000
Rh 0.500 0.000 0.500

DFT (PBE) results for SrHgRh2 after structural relaxation.

Output
Raw total energy = -4.05 eV per atom
Crystal system = tetragonal
Space group = No. 122

a = 4.676 Å, b = 4.676 Å, c = 10.080 Å
α = 76.59°, β = 76.59°, γ = 90.00°
Fractional coordinates of all 8 atoms:
Rh 0.375 0.212 0.750
Rh 0.875 0.038 0.750
Sr 0.250 0.750 0.500
Rh 0.788 0.125 0.250
Rh 0.962 0.625 0.250
Sr 0.500 0.500 0.000
Hg 0.750 0.250 0.500
Hg 0.000 0.000 0.000

DFT (PBE) results for Sr8Hg2Rh after structural relaxation.

Output
Raw total energy = -2.21 eV per atom
Crystal system = monoclinic
Space group = No. 12

a = 7.294 Å, b = 8.594 Å, c = 8.594 Å
α = 72.27°, β = 75.23°, γ = 75.23°
Fractional coordinates of all 11 atoms:
Hg 0.415 0.326 0.326
Sr 0.758 0.943 0.337
Sr 0.758 0.337 0.943
Sr 0.242 0.057 0.663
Sr 0.794 0.414 0.414
Sr 0.252 0.128 0.128
Sr 0.242 0.663 0.057
Sr 0.748 0.872 0.872
Sr 0.206 0.586 0.586
Hg 0.585 0.674 0.674
Rh 0.000 0.000 0.000

DFT (PBE) results for SrHgRh2 after structural relaxation.

Output
Raw total energy = -4.12 eV per atom
Crystal system = orthorhombic
Space group = No. 38

a = 4.470 Å, b = 3.397 Å, c = 5.780 Å
α = 72.94°, β = 90.00°, γ = 90.00°
Fractional coordinates of all 4 atoms:
Hg 0.500 0.780 0.816
Rh 0.500 0.070 0.235
Sr 0.000 0.459 0.458
Rh 0.000 0.192 0.992

DFT (PBE) results for SrHg4Rh after structural relaxation.

Output
Raw total energy = -1.95 eV per atom
Energy relative to the lowest polymorph listed for this composition = 0 meV per atom
Crystal system = orthorhombic
Space group = No. 51

a = 4.371 Å, b = 7.776 Å, c = 8.698 Å
α = 90.00°, β = 90.00°, γ = 90.00°
Fractional coordinates of all 12 atoms:
Rh 0.000 0.206 0.750
Hg 0.000 0.000 0.000
Hg 0.500 0.317 0.936
Rh 0.000 0.794 0.250
Sr 0.000 0.601 0.750
Hg 0.500 0.317 0.564
Hg 0.500 0.064 0.250
Hg 0.500 0.683 0.064
Hg 0.500 0.683 0.436
Hg 0.500 0.936 0.750
Sr 0.000 0.399 0.250
Hg 0.000 0.000 0.500

DFT (PBE) results for SrHgRh2 after structural relaxation.

Output
Raw total energy = -4.16 eV per atom
Crystal system = orthorhombic
Space group = No. 25

a = 3.160 Å, b = 3.746 Å, c = 7.227 Å
α = 90.00°, β = 90.00°, γ = 90.00°
Fractional coordinates of all 4 atoms:
Hg 0.500 0.500 0.795
Rh 0.000 0.000 0.050
Rh 0.500 0.500 0.182
Sr 0.000 0.000 0.473

DFT (PBE) results for SrHgRh3 after structural relaxation.

Output
Raw total energy = -3.95 eV per atom
Energy relative to the lowest polymorph listed for this composition = 0 meV per atom
Crystal system = cubic
Space group = No. 221

a = 5.026 Å, b = 5.026 Å, c = 5.026 Å
α = 90.00°, β = 90.00°, γ = 90.00°
Each line ends with the local moment (μB).
Fractional coordinates of all 5 atoms:
Rh 0.500 0.000 0.000  0.33
Hg 0.000 0.000 0.000  0.01
Rh 0.000 0.500 0.000  0.55
Sr 0.500 0.500 0.500  -0.01
Rh 0.000 0.000 0.500  0.59

DFT (PBE) results for SrHgRh2 after structural relaxation.

Output
Raw total energy = -4.16 eV per atom
Crystal system = monoclinic
Space group = No. 8

a = 5.668 Å, b = 5.668 Å, c = 5.026 Å
α = 68.94°, β = 68.94°, γ = 32.40°
Fractional coordinates of all 4 atoms:
Sr 0.487 0.487 0.551
Rh 0.022 0.022 0.037
Rh 0.720 0.720 0.722
Hg 0.272 0.272 0.190

no.,formation energy (eV per atom)
1,-0.419
2,0.629
3,1.627
4,-0.401
5,-0.369
6,-0.318
7,-0.107
8,0.023
9,0.164
10,-0.386
11,0.149
12,0.036
13,0.175
14,0.120
15,-0.264
16,0.055
17,-0.243
18,0.014
19,0.857
20,0.014